[1]
CePuMgTl: optimized geometry, GGA-PBE.

Volume   25.09 Å³/atom
DFT total energy   -6.0733 eV per atom
M_tot   1.754 μB per atom
Space group   P4/nmm
Energy above the lowest structure with this stoichiometry   0 meV/atom

Cell lengths 4.7705, 4.7705, 8.8208 Å; angles 90.00, 90.00, 90.00 degrees
Closest atoms and distances in Å follow each position.
Fractional coordinates of all 8 atoms:
Ce1 0.2500 0.7500 0.0000  4 Pu 3.12, 4 Ce 3.37, 4 Tl 3.43
Ce2 0.7500 0.2500 0.0000  4 Pu 3.12, 4 Ce 3.37, 4 Tl 3.43
Pu1 0.2500 0.2500 0.2271  4 Ce 3.12, 4 Mg 3.39, 4 Tl 3.40
Pu2 0.7500 0.7500 0.7729  4 Ce 3.12, 4 Mg 3.39, 4 Tl 3.40
Mg1 0.2500 0.7500 0.5000  4 Tl 3.08, 4 Mg 3.37, 4 Pu 3.39
Mg2 0.7500 0.2500 0.5000  4 Tl 3.08, 4 Mg 3.37, 4 Pu 3.39
Tl1 0.2500 0.2500 0.7206  4 Mg 3.08, 4 Pu 3.40, 4 Ce 3.43
Tl2 0.7500 0.7500 0.2794  4 Mg 3.08, 4 Pu 3.40, 4 Ce 3.43


[2]
ReH2F: optimized geometry, GGA-PBE.

Volume   8.29 Å³/atom
DFT total energy   -5.2063 eV per atom
M_tot   0.000 μB per atom
Space group   I-42d
Energy above the lowest structure with this stoichiometry   0 meV/atom

Cell lengths 4.5030, 4.5030, 4.5030 Å; angles 102.32, 102.32, 124.99 degrees
Closest atoms and distances in Å follow each position.
Fractional coordinates of all 8 atoms:
Re1 0.0000 0.0000 0.0000  4 H 1.81
Re2 0.7500 0.2500 0.5000  4 H 1.81
H1 0.0533 0.1250 0.4283  2 Re 1.81
H2 0.3750 0.9467 0.0717  2 Re 1.81
H3 0.6967 0.6250 0.5717  2 Re 1.81
H4 0.8750 0.3033 0.9283  2 Re 1.81
F1 0.2500 0.7500 0.5000  2 Re 2.08
F2 0.5000 0.5000 0.0000  2 Re 2.08


[3]
Pm2Zn2NiPt5: optimized geometry, GGA-PBE.

Volume   17.63 Å³/atom
DFT total energy   -5.4894 eV per atom
M_tot   0.000 μB per atom
Space group   P4/mbm

Cell lengths 9.6026, 9.6026, 3.8231 Å; angles 90.00, 90.00, 90.00 degrees
Closest atoms and distances in Å follow each position.
Fractional coordinates of all 20 atoms:
Pm1 0.1784 0.3216 0.0000  3 Zn 2.72-2.93
Pm2 0.3216 0.8216 0.0000  3 Zn 2.72-2.93
Pm3 0.6784 0.1784 0.0000  3 Zn 2.72-2.93
Pm4 0.8216 0.6784 0.0000  3 Zn 2.72-2.93
Zn1 0.1217 0.6217 0.0000  6 Pt 2.53-2.63, 1 Pm 2.72
Zn2 0.3783 0.1217 0.0000  6 Pt 2.53-2.63, 1 Pm 2.72
Zn3 0.6217 0.8783 0.0000  6 Pt 2.53-2.63, 1 Pm 2.72
Zn4 0.8783 0.3783 0.0000  6 Pt 2.53-2.63, 1 Pm 2.72
Ni1 0.0000 0.0000 0.0000  8 Pt 2.77
Ni2 0.5000 0.5000 0.0000  8 Pt 2.77
Pt1 0.0000 0.5000 0.5000  4 Zn 2.53
Pt2 0.0603 0.8001 0.5000  2 Zn 2.63, 2 Ni 2.77, 3 Pt 2.84-2.94
Pt3 0.1999 0.0603 0.5000  2 Zn 2.63, 2 Ni 2.77, 3 Pt 2.84-2.94
Pt4 0.3001 0.5603 0.5000  2 Zn 2.63, 2 Ni 2.77, 3 Pt 2.84-2.94
Pt5 0.4397 0.3001 0.5000  2 Zn 2.63, 2 Ni 2.77, 3 Pt 2.84-2.94
Pt6 0.5000 0.0000 0.5000  4 Zn 2.53
Pt7 0.5603 0.6999 0.5000  2 Zn 2.63, 2 Ni 2.77, 3 Pt 2.84-2.94
Pt8 0.6999 0.4397 0.5000  2 Zn 2.63, 2 Ni 2.77, 3 Pt 2.84-2.94
Pt9 0.8001 0.9397 0.5000  2 Zn 2.63, 2 Ni 2.77, 3 Pt 2.84-2.94
Pt10 0.9397 0.1999 0.5000  2 Zn 2.63, 2 Ni 2.77, 3 Pt 2.84-2.94


[4]
TbPaMnN4: optimized geometry, GGA-PBE.

Volume   11.79 Å³/atom
ΔE_f (raw)   -1.125 eV/atom
DFT total energy   -9.2100 eV per atom
M_tot   0.072 μB per atom
Space group   I4mm

Cell lengths 6.6084, 6.6084, 6.6084 Å; angles 147.60, 147.60, 46.48 degrees
Closest atoms and distances in Å follow each position.
Fractional coordinates of all 7 atoms:
Tb1 0.0000 0.0000 0.0000  1 N 2.26
Pa1 0.7156 0.7156 0.0000  1 N 2.16
Mn1 0.3541 0.3541 0.0000  5 N 1.84-2.04
N1 0.1860 0.1860 0.0000  1 Mn 2.04, 1 Tb 2.26
N2 0.3515 0.8515 0.5000  2 Mn 1.84
N3 0.5380 0.5380 0.0000  1 Pa 2.16, 1 Mn 2.23
N4 0.8515 0.3515 0.5000  2 Mn 1.84


Copy entry 2 word for word.
ReH2F: optimized geometry, GGA-PBE.

Volume   8.29 Å³/atom
DFT total energy   -5.2063 eV per atom
M_tot   0.000 μB per atom
Space group   I-42d
Energy above the lowest structure with this stoichiometry   0 meV/atom

Cell lengths 4.5030, 4.5030, 4.5030 Å; angles 102.32, 102.32, 124.99 degrees
Closest atoms and distances in Å follow each position.
Fractional coordinates of all 8 atoms:
Re1 0.0000 0.0000 0.0000  4 H 1.81
Re2 0.7500 0.2500 0.5000  4 H 1.81
H1 0.0533 0.1250 0.4283  2 Re 1.81
H2 0.3750 0.9467 0.0717  2 Re 1.81
H3 0.6967 0.6250 0.5717  2 Re 1.81
H4 0.8750 0.3033 0.9283  2 Re 1.81
F1 0.2500 0.7500 0.5000  2 Re 2.08
F2 0.5000 0.5000 0.0000  2 Re 2.08


> Among the records above, which one has the highest M_tot?

CePuMgTl


> Which of these has the highest M_tot?

CePuMgTl


> Which value of M_tot does entry 4 give?

0.072 μB per atom